--- a ---
This record from Alexandria describes BeZnCr2 at its PBEsol-relaxed geometry. The functional is SCAN.

Cell: 2.3934 3.8698 4.7613 Å, 90.00 97.87 90.00°
Closest atoms and distances in Å follow each position.
Atoms (fractional coordinates):
Cr (0.0296, 0.0000, 0.2739)  3 Cr 2.18-2.39, 2 Be 2.42
Cr (0.9704, 0.0000, 0.7261)  3 Cr 2.18-2.39, 2 Be 2.42
Zn (0.5000, 0.5000, 0.0000)  2 Be 2.38, 2 Zn 2.39, 4 Cr 2.57
Be (0.5000, 0.5000, 0.5000)  2 Zn 2.38, 2 Be 2.39, 8 Cr 2.42-2.62

- Calculated volume: 10.92 A^3/atom
- D(E_F): 0.441 states/eV per atom


--- b ---
This record from Alexandria describes BeZnCr2 at its PBEsol-relaxed geometry. The functional is SCAN.

Cell: 2.4150 2.4150 7.8805 Å, 90.00 90.00 106.89°
Closest atoms and distances in Å follow each position.
Atoms (fractional coordinates):
Zn (0.0000, 0.0000, 0.4893)  4 Zn 2.42, 2 Be 2.44, 2 Cr 2.58
Cr (0.0000, 0.0000, 0.0095)  2 Be 2.31, 6 Cr 2.42-2.43
Cr (0.5000, 0.5000, 0.7616)  6 Cr 2.42-2.43, 2 Zn 2.58
Be (0.5000, 0.5000, 0.2395)  2 Cr 2.31, 4 Be 2.42, 2 Zn 2.44

- Calculated volume: 10.99 A^3/atom
- D(E_F): 0.421 states/eV per atom


Most stable structure, least stable structure: b, a.


--- a ---
This record from Alexandria describes Be3Cu5 at its PBEsol-relaxed geometry. The functional is SCAN.

Cell: 3.6793 4.7204 4.7204 Å, 102.38 90.00 90.00°
Closest atoms and distances in Å follow each position.
Atoms (fractional coordinates):
Cu (0.0000, 0.5000, 0.0000)  6 Be 2.36, 6 Cu 2.36-2.61
Cu (0.5000, 0.2797, 0.2797)  6 Be 2.25-2.39, 2 Cu 2.47
Cu (0.0000, 0.0000, 0.0000)  8 Cu 2.36-2.47, 4 Be 2.52
Cu (0.0000, 0.0000, 0.5000)  6 Cu 2.36-2.61, 6 Be 2.36
Cu (0.5000, 0.7203, 0.7203)  6 Be 2.25-2.39, 2 Cu 2.47
Be (0.5000, 0.2336, 0.7664)  10 Cu 2.35-2.52
Be (0.5000, 0.7664, 0.2336)  10 Cu 2.35-2.52
Be (0.0000, 0.5000, 0.5000)  8 Cu 2.25-2.36

- Calculated volume: 10.01 A^3/atom
- D(E_F): 0.311 states/eV per atom


--- b ---
This record from Alexandria describes Be3Cu5 at its PBEsol-relaxed geometry. The functional is SCAN.

Cell: 2.6792 2.6792 10.9475 Å, 90.00 90.00 90.00°
Closest atoms and distances in Å follow each position.
Atoms (fractional coordinates):
Be (0.5000, 0.5000, 0.8808)  8 Cu 2.29-2.30
Be (0.0000, 0.0000, 0.5000)  8 Cu 2.29
Be (0.5000, 0.5000, 0.1192)  8 Cu 2.29-2.30
Cu (0.5000, 0.5000, 0.3832)  4 Be 2.29, 5 Cu 2.49-2.56
Cu (0.0000, 0.0000, 0.2359)  4 Be 2.29, 4 Cu 2.49
Cu (0.0000, 0.0000, 0.7641)  4 Be 2.29, 4 Cu 2.49
Cu (0.5000, 0.5000, 0.6168)  4 Be 2.29, 5 Cu 2.49-2.56
Cu (0.0000, 0.0000, 0.0000)  8 Be 2.30

- Calculated volume: 9.82 A^3/atom
- D(E_F): 0.282 states/eV per atom


--- c ---
This record from Alexandria describes Be3Cu5 at its PBEsol-relaxed geometry. The functional is SCAN.

Cell: 4.5296 6.4003 6.4003 Å, 120.00 90.00 90.00°
Closest atoms and distances in Å follow each position.
Atoms (fractional coordinates):
Cu (0.5000, 0.6667, 0.3333)  6 Be 2.25, 2 Cu 2.26
Cu (0.7500, 0.2380, 0.0000)  5 Be 2.25-2.50
Cu (0.0000, 0.6667, 0.3333)  6 Be 2.25, 2 Cu 2.26
Cu (0.2500, 0.0000, 0.7620)  5 Be 2.25-2.50
Cu (0.2500, 0.2380, 0.2380)  5 Be 2.25-2.50
Cu (0.0000, 0.3333, 0.6667)  6 Be 2.25, 2 Cu 2.26
Cu (0.7500, 0.0000, 0.2380)  5 Be 2.25-2.50
Cu (0.7500, 0.7620, 0.7620)  5 Be 2.25-2.50
Cu (0.2500, 0.7620, 0.0000)  5 Be 2.25-2.50
Cu (0.5000, 0.3333, 0.6667)  6 Be 2.25, 2 Cu 2.26
Be (0.7500, 0.5957, 0.0000)  9 Cu 2.25-2.50
Be (0.2500, 0.0000, 0.4043)  9 Cu 2.25-2.50
Be (0.7500, 0.0000, 0.5957)  9 Cu 2.25-2.50
Be (0.2500, 0.4043, 0.0000)  9 Cu 2.25-2.50
Be (0.2500, 0.5957, 0.5957)  9 Cu 2.25-2.50
Be (0.7500, 0.4043, 0.4043)  9 Cu 2.25-2.50

- Calculated volume: 10.04 A^3/atom
- D(E_F): 0.254 states/eV per atom


Most stable structure, least stable structure: b, c.


--- a ---
This record from Alexandria describes Be2Cu at its PBEsol-relaxed geometry. The functional is SCAN.

Cell: 2.5512 4.2571 5.5090 Å, 108.91 90.07 107.43°
Closest atoms and distances in Å follow each position.
Atoms (fractional coordinates):
Be (0.9750, 0.9520, 0.7439)  4 Be 2.21, 5 Cu 2.27-2.37
Be (0.0250, 0.0480, 0.2561)  4 Be 2.21, 5 Cu 2.27-2.37
Be (0.6545, 0.3088, 0.0493)  7 Be 2.21-2.38, 3 Cu 2.29-2.39
Be (0.3455, 0.6912, 0.9507)  7 Be 2.21-2.38, 3 Cu 2.29-2.39
Cu (0.3336, 0.6670, 0.3780)  8 Be 2.27-2.39
Cu (0.6664, 0.3330, 0.6220)  8 Be 2.27-2.39

- Calculated volume: 8.95 A^3/atom
- D(E_F): 0.178 states/eV per atom


--- b ---
This record from Alexandria describes Be2Cu at its PBEsol-relaxed geometry. The functional is SCAN.

Cell: 2.7115 3.6298 5.7517 Å, 108.39 90.00 90.00°
Closest atoms and distances in Å follow each position.
Atoms (fractional coordinates):
Cu (0.0000, 0.6637, 0.3273)  8 Be 2.24-2.33
Cu (0.0000, 0.3363, 0.6727)  8 Be 2.24-2.33
Be (0.5000, 0.8368, 0.6737)  2 Be 2.24, 6 Cu 2.27-2.33
Be (0.5000, 0.1632, 0.3263)  2 Be 2.24, 6 Cu 2.27-2.33
Be (0.5000, 0.5000, 0.0000)  4 Cu 2.24, 4 Be 2.27
Be (0.0000, 0.0000, 0.0000)  8 Be 2.24-2.27

- Calculated volume: 8.95 A^3/atom
- D(E_F): 0.192 states/eV per atom


--- c ---
This record from Alexandria describes Be2Cu at its PBEsol-relaxed geometry. The functional is SCAN.

Cell: 2.6658 2.6658 4.1916 Å, 108.54 108.54 90.00°
Closest atoms and distances in Å follow each position.
Atoms (fractional coordinates):
Be (0.3275, 0.3275, 0.6550)  4 Be 2.21, 5 Cu 2.29-2.45
Be (0.6725, 0.6725, 0.3450)  4 Be 2.21, 5 Cu 2.29-2.45
Cu (0.0000, 0.0000, 0.0000)  10 Be 2.29-2.45

- Calculated volume: 8.87 A^3/atom
- D(E_F): 0.150 states/eV per atom


Most stable structure, least stable structure: c, a.


--- a ---
This record from Alexandria describes Be2Cu at its PBEsol-relaxed geometry. The functional is SCAN.

Cell: 4.2023 4.2023 13.7068 Å, 90.00 90.00 120.00°
Closest atoms and distances in Å follow each position.
Atoms (fractional coordinates):
Cu (0.0000, 0.0000, 0.4041)  12 Be 2.43-2.48, 4 Cu 2.56-2.63
Cu (0.3333, 0.6667, 0.1562)  12 Be 2.46-2.47, 4 Cu 2.56-2.57
Cu (0.6667, 0.3333, 0.6562)  12 Be 2.46-2.47, 4 Cu 2.56-2.57
Cu (0.0000, 0.0000, 0.0959)  12 Be 2.43-2.48, 4 Cu 2.56-2.63
Cu (0.0000, 0.0000, 0.9041)  12 Be 2.43-2.48, 4 Cu 2.56-2.63
Cu (0.0000, 0.0000, 0.5959)  12 Be 2.43-2.48, 4 Cu 2.56-2.63
Cu (0.6667, 0.3333, 0.8438)  12 Be 2.46-2.47, 4 Cu 2.56-2.57
Cu (0.3333, 0.6667, 0.3438)  12 Be 2.46-2.47, 4 Cu 2.56-2.57
Be (0.5000, 0.5000, 0.5000)  6 Be 2.08-2.10
Be (0.3333, 0.6667, 0.6236)  6 Be 2.08-2.12
Be (0.1663, 0.8337, 0.7500)  6 Be 2.10-2.12
Be (0.3333, 0.6667, 0.8764)  6 Be 2.08-2.12
Be (0.0000, 0.5000, 0.5000)  6 Be 2.08-2.10
Be (0.3326, 0.1663, 0.2500)  6 Be 2.10-2.12
Be (0.6674, 0.8337, 0.7500)  6 Be 2.10-2.12
Be (0.6667, 0.3333, 0.3764)  6 Be 2.08-2.12
Be (0.8337, 0.1663, 0.2500)  6 Be 2.10-2.12
Be (0.5000, 0.5000, 0.0000)  6 Be 2.08-2.10
Be (0.1663, 0.3326, 0.7500)  6 Be 2.10-2.12
Be (0.6667, 0.3333, 0.1236)  6 Be 2.08-2.12
Be (0.0000, 0.5000, 0.0000)  6 Be 2.08-2.10
Be (0.8337, 0.6674, 0.2500)  6 Be 2.10-2.12
Be (0.5000, 0.0000, 0.0000)  6 Be 2.08-2.10
Be (0.5000, 0.0000, 0.5000)  6 Be 2.08-2.10

- Calculated volume: 8.73 A^3/atom
- D(E_F): 0.168 states/eV per atom


--- b ---
This record from Alexandria describes Be2Cu at its PBEsol-relaxed geometry. The functional is SCAN.

Cell: 4.1983 4.1983 4.1983 Å, 60.00 60.00 60.00°
Closest atoms and distances in Å follow each position.
Atoms (fractional coordinates):
Cu (0.7500, 0.7500, 0.7500)  12 Be 2.46, 4 Cu 2.57
Cu (0.5000, 0.5000, 0.5000)  12 Be 2.46, 4 Cu 2.57
Be (0.6250, 0.1250, 0.1250)  6 Be 2.10
Be (0.1250, 0.1250, 0.6250)  6 Be 2.10
Be (0.1250, 0.6250, 0.1250)  6 Be 2.10
Be (0.1250, 0.1250, 0.1250)  6 Be 2.10

- Calculated volume: 8.72 A^3/atom
- D(E_F): 0.168 states/eV per atom


--- c ---
This record from Alexandria describes Be2Cu at its PBEsol-relaxed geometry. The functional is SCAN.

Cell: 3.6111 3.6111 3.6111 Å, 60.00 60.00 60.00°
Closest atoms and distances in Å follow each position.
Atoms (fractional coordinates):
Be (0.7500, 0.7500, 0.7500)  4 Cu 2.21
Be (0.2500, 0.2500, 0.2500)  4 Cu 2.21
Cu (0.0000, 0.0000, 0.0000)  8 Be 2.21

- Calculated volume: 11.10 A^3/atom
- D(E_F): 0.407 states/eV per atom


Most stable structure, least stable structure: b, c.


--- a ---
This record from Alexandria describes Be2CuIr at its PBEsol-relaxed geometry. The functional is SCAN.

Cell: 2.8051 2.8051 5.2349 Å, 90.00 90.00 90.00°
Closest atoms and distances in Å follow each position.
Atoms (fractional coordinates):
Ir (0.5000, 0.5000, 0.5000)  8 Be 2.34, 2 Cu 2.62
Be (0.0000, 0.0000, 0.7375)  4 Ir 2.34, 4 Cu 2.41, 1 Be 2.49
Be (0.0000, 0.0000, 0.2625)  4 Ir 2.34, 4 Cu 2.41, 1 Be 2.49
Cu (0.5000, 0.5000, 0.0000)  8 Be 2.41, 2 Ir 2.62

- Calculated volume: 10.30 A^3/atom
- D(E_F): 0.200 states/eV per atom


--- b ---
This record from Alexandria describes Be2CuIr at its PBEsol-relaxed geometry. The functional is SCAN.

Cell: 3.8535 3.8535 3.8535 Å, 60.00 60.00 60.00°
Closest atoms and distances in Å follow each position.
Atoms (fractional coordinates):
Be (0.2500, 0.2500, 0.2500)  4 Cu 2.36, 4 Ir 2.36
Be (0.7500, 0.7500, 0.7500)  4 Ir 2.36, 4 Cu 2.36
Ir (0.5000, 0.5000, 0.5000)  8 Be 2.36
Cu (0.0000, 0.0000, 0.0000)  8 Be 2.36

- Calculated volume: 10.12 A^3/atom
- D(E_F): 0.255 states/eV per atom


Most stable structure, least stable structure: a, b.


--- a ---
This record from Alexandria describes LiBe2Cu at its PBEsol-relaxed geometry. The functional is SCAN.

Cell: 2.5985 3.8788 4.5239 Å, 115.41 106.69 90.00°
Closest atoms and distances in Å follow each position.
Atoms (fractional coordinates):
Cu (0.4822, 0.4832, 0.9644)  6 Be 2.26-2.35, 2 Li 2.47
Be (0.7443, 0.2427, 0.4886)  2 Be 2.17, 2 Cu 2.26, 4 Li 2.33-2.34
Be (0.0205, 0.0220, 0.0410)  2 Be 2.17, 4 Cu 2.35
Li (0.2530, 0.7521, 0.5059)  6 Be 2.33-2.45, 2 Cu 2.47, 2 Li 2.60

- Calculated volume: 9.76 A^3/atom
- D(E_F): 0.229 states/eV per atom


--- b ---
This record from Alexandria describes LiBe2Cu at its PBEsol-relaxed geometry. The functional is SCAN.

Cell: 4.0287 4.0287 8.0587 Å, 104.48 104.48 90.00°
Closest atoms and distances in Å follow each position.
Atoms (fractional coordinates):
Li (0.5000, 0.5000, 0.0000)  4 Cu 2.85, 8 Be 2.94
Li (0.7500, 0.2500, 0.5000)  4 Cu 2.85, 8 Be 2.94
Cu (0.2500, 0.7500, 0.5000)  4 Be 2.14
Cu (0.0000, 0.0000, 0.0000)  4 Be 2.14
Be (0.1250, 0.8750, 0.7500)  2 Be 2.01, 2 Cu 2.14
Be (0.1250, 0.8750, 0.2500)  2 Be 2.01, 2 Cu 2.14
Be (0.6250, 0.8750, 0.7500)  2 Be 2.01, 2 Cu 2.14
Be (0.1250, 0.3750, 0.2500)  2 Be 2.01, 2 Cu 2.14

- Calculated volume: 15.29 A^3/atom
- D(E_F): 0.426 states/eV per atom


Most stable structure, least stable structure: a, b.


--- a ---
This record from Alexandria describes MgBeCu2 at its PBEsol-relaxed geometry. The functional is SCAN.

Cell: 2.9117 2.9117 5.8060 Å, 90.00 90.00 90.00°
Closest atoms and distances in Å follow each position.
Atoms (fractional coordinates):
Cu (0.5000, 0.5000, 0.2154)  1 Be 2.36, 4 Cu 2.49, 4 Mg 2.65
Cu (0.0000, 0.0000, 0.9746)  4 Be 2.27, 4 Cu 2.49
Be (0.5000, 0.5000, 0.8081)  5 Cu 2.27-2.36
Mg (0.0000, 0.0000, 0.5019)  5 Cu 2.65-2.74, 4 Be 2.72, 4 Mg 2.91

- Calculated volume: 12.31 A^3/atom
- D(E_F): 0.334 states/eV per atom


--- b ---
This record from Alexandria describes MgBeCu2 at its PBEsol-relaxed geometry. The functional is SCAN.

Cell: 2.7724 2.7726 6.2455 Å, 90.00 89.98 90.00°
Closest atoms and distances in Å follow each position.
Atoms (fractional coordinates):
Cu (0.0002, 0.0000, 0.8006)  4 Be 2.32, 1 Cu 2.49
Cu (0.9998, 0.0000, 0.1994)  4 Be 2.32, 1 Cu 2.49
Mg (0.5000, 0.5000, 0.5000)  8 Cu 2.71, 4 Mg 2.77
Be (0.5000, 0.5000, 0.0000)  8 Cu 2.32

- Calculated volume: 12.00 A^3/atom
- D(E_F): 0.275 states/eV per atom


Most stable structure, least stable structure: b, a.


--- a ---
This record from Alexandria describes Be2CuPt at its PBEsol-relaxed geometry. The functional is SCAN.

Cell: 3.8983 3.8983 3.8983 Å, 60.00 60.00 60.00°
Closest atoms and distances in Å follow each position.
Atoms (fractional coordinates):
Pt (0.5000, 0.5000, 0.5000)  8 Be 2.39
Cu (0.0000, 0.0000, 0.0000)  8 Be 2.39
Be (0.2500, 0.2500, 0.2500)  4 Pt 2.39, 4 Cu 2.39
Be (0.7500, 0.7500, 0.7500)  4 Cu 2.39, 4 Pt 2.39

- Calculated volume: 10.47 A^3/atom
- D(E_F): 0.233 states/eV per atom


--- b ---
This record from Alexandria describes Be2CuPt at its PBEsol-relaxed geometry. The functional is SCAN.

Cell: 2.7561 2.7561 5.4903 Å, 90.00 90.00 90.00°
Closest atoms and distances in Å follow each position.
Atoms (fractional coordinates):
Be (0.0000, 0.0000, 0.2376)  4 Cu 2.35, 4 Pt 2.42, 1 Be 2.61
Be (0.0000, 0.0000, 0.7624)  4 Cu 2.35, 4 Pt 2.42, 1 Be 2.61
Pt (0.5000, 0.5000, 0.5000)  8 Be 2.42
Cu (0.5000, 0.5000, 0.0000)  8 Be 2.35

- Calculated volume: 10.43 A^3/atom
- D(E_F): 0.266 states/eV per atom


Most stable structure, least stable structure: a, b.